1.
This record from Alexandria via LeMat-Bulk describes a relaxed structure of MnOsRh4. The functional is PBE.

calculated formation energy = 0.464 eV per atom
N(E_F) = 8.07 states/eV/f.u.

The structure in extended XYZ format:
```
6
Lattice="0.0000 3.5714 3.5714 3.5714 0.0000 3.5714 3.5714 3.5714 0.0000" Properties=species:S:1:pos:R:3 pbc="T T T"
Mn 0.0000 0.0000 0.0000
Os 5.3571 5.3571 5.3571
Rh 2.6793 2.6793 2.6793
Rh 4.4634 4.4634 2.6793
Rh 4.4634 2.6793 4.4634
Rh 2.6793 4.4634 4.4634
```



2.
This record from Alexandria via LeMat-Bulk describes a relaxed structure of Mn2OsRh. The functional is PBE.

calculated formation energy = 0.139 eV per atom
N(E_F) = 3.77 states/eV/f.u.

The structure in extended XYZ format:
```
4
Lattice="2.9831 0.0000 0.0000 0.0000 2.9831 0.0000 0.0000 0.0000 5.9461" Properties=species:S:1:pos:R:3 pbc="T T T"
Mn 0.0000 0.0000 0.0000
Mn 1.4916 1.4916 1.0676
Os 0.0000 0.0000 2.5907
Rh 1.4916 1.4916 4.3459
```



3.
This record from Alexandria via LeMat-Bulk describes a relaxed structure of Mn2OsRh. The functional is PBE.

calculated formation energy = 0.030 eV per atom
N(E_F) = 4.42 states/eV/f.u.

The structure in extended XYZ format:
```
8
Lattice="5.3145 0.0000 0.0000 0.0000 7.2962 0.0000 0.0000 0.0000 2.6492" Properties=species:S:1:pos:R:3 pbc="T T T"
Mn 1.3286 1.8241 0.0000
Mn 1.3286 5.4722 0.0000
Mn 3.9859 1.8241 0.0000
Mn 3.9859 5.4722 0.0000
Os 0.0000 0.0000 1.3246
Os 2.6572 3.6481 1.3246
Rh 0.0000 3.6481 1.3246
Rh 2.6572 0.0000 1.3246
```



4.
This record from Alexandria via LeMat-Bulk describes a relaxed structure of Mn2OsRh. The functional is PBE.

calculated formation energy = 0.088 eV per atom
N(E_F) = 4.92 states/eV/f.u.

The structure in extended XYZ format:
```
8
Lattice="8.6140 0.0000 0.0000 0.0000 2.6430 0.0000 -0.8012 0.0000 4.5384" Properties=species:S:1:pos:R:3 pbc="T T T"
Mn 1.9534 0.0000 1.1172
Mn 1.5524 1.3215 3.4212
Mn 5.8594 0.0000 3.4212
Mn 6.2604 1.3215 1.1172
Os 0.0000 1.3215 0.0000
Os 4.3070 0.0000 0.0000
Rh -0.4006 0.0000 2.2692
Rh 3.9064 1.3215 2.2692
```



5.
This record from Alexandria via LeMat-Bulk describes a relaxed structure of Mn2OsRh6. The functional is PBE.

calculated formation energy = 0.110 eV per atom
N(E_F) = 11.50 states/eV/f.u.

The structure in extended XYZ format:
```
9
Lattice="2.3265 -6.7839 0.0000 2.3265 6.7839 0.0000 -2.2571 0.0000 4.0677" Properties=species:S:1:pos:R:3 pbc="T T T"
Mn 2.3265 4.5433 0.0000
Mn 2.3265 -4.5433 0.0000
Os -1.1286 0.0000 2.0339
Rh 0.0222 2.2860 2.7342
Rh 1.1632 0.0000 0.6917
Rh 0.0222 -2.2860 2.7342
Rh 2.3735 2.2860 1.3335
Rh 1.2325 0.0000 3.3760
Rh 2.3735 -2.2860 1.3335
```



6.
This record from Alexandria via LeMat-Bulk describes a relaxed structure of Mn2OsRh. The functional is PBE.

calculated formation energy = 0.011 eV per atom
N(E_F) = 4.11 states/eV/f.u.

The structure in extended XYZ format:
```
8
Lattice="3.9760 0.0000 0.0000 0.0000 2.6529 0.0000 0.0000 0.0000 9.5431" Properties=species:S:1:pos:R:3 pbc="T T T"
Mn 0.0000 0.0000 0.0000
Mn 0.0000 1.3265 4.7715
Mn 1.9880 0.0000 1.1409
Mn 1.9880 1.3265 5.9124
Os 0.0000 0.0000 6.9431
Os 0.0000 1.3265 2.1715
Rh 1.9880 0.0000 3.6927
Rh 1.9880 1.3265 8.4642
```



7.
This record from Alexandria via LeMat-Bulk describes a relaxed structure of MnOs2Rh. The functional is PBE.

calculated formation energy = 0.102 eV per atom
N(E_F) = 3.66 states/eV/f.u.

The structure in extended XYZ format:
```
8
Lattice="5.3421 0.0000 0.0000 0.0000 7.6476 0.0000 0.0000 0.0000 2.6829" Properties=species:S:1:pos:R:3 pbc="T T T"
Mn 0.0000 0.0000 0.0000
Mn 2.6711 3.8238 0.0000
Os 1.3355 1.9119 1.3414
Os 1.3355 5.7357 1.3414
Os 4.0066 1.9119 1.3414
Os 4.0066 5.7357 1.3414
Rh 0.0000 3.8238 0.0000
Rh 2.6711 0.0000 0.0000
```



8.
This record from Alexandria via LeMat-Bulk describes a relaxed structure of Mn2OsRh. The functional is PBE.

calculated formation energy = 0.056 eV per atom
N(E_F) = 4.79 states/eV/f.u.

The structure in extended XYZ format:
```
8
Lattice="3.6837 0.0000 0.0000 0.0000 3.6837 0.0000 0.0000 0.0000 7.5482" Properties=species:S:1:pos:R:3 pbc="T T T"
Mn 0.0000 0.0000 0.0000
Mn 0.0000 1.8419 1.8871
Mn 1.8419 0.0000 5.6612
Mn 1.8419 1.8419 3.7741
Os 0.0000 1.8419 5.6612
Os 1.8419 0.0000 1.8871
Rh 0.0000 0.0000 3.7741
Rh 1.8419 1.8419 0.0000
```



Number 8 is which compound?
Mn2OsRh